Compound: NiP2WCl
Source: the Alexandria database
Functional: PBE
Structure: relaxed Values from VASP.

The structure in Quantum ESPRESSO input format:
```
&SYSTEM
  ibrav = 0, nat = 5, ntyp = 4
/
ATOMIC_SPECIES
P 30.97 P.upf
Ni 58.69 Ni.upf
W 183.84 W.upf
Cl 35.45 Cl.upf
CELL_PARAMETERS angstrom
-3.8250 1.1372 -2.4792
1.3783 -2.8790 -3.4471
-2.3846 -3.5803 2.0368
ATOMIC_POSITIONS angstrom
P -1.9125 0.5686 -1.2396
P 0.6891 -1.4395 -1.7235
Ni -2.4157 -2.6610 -1.9448
W 0.0000 0.0000 0.0000
Cl -1.1923 -1.7901 1.0184
```

Calculated values
Calculated density   5.37 Mg/m³
Space group   P4/mmm (123)
E_form (uncorrected)   4.14 eV/f.u.

Compound: Er4Sn2Hg
Source: the Alexandria database
Functional: PBE
Structure: relaxed Values from VASP.

The structure in Quantum ESPRESSO input format:
```
&SYSTEM
  ibrav = 0, nat = 7, ntyp = 3
/
ATOMIC_SPECIES
Hg 200.59 Hg.upf
Sn 118.71 Sn.upf
Er 167.26 Er.upf
CELL_PARAMETERS angstrom
-2.3917 -0.6926 -4.0036
-6.9532 -2.5960 4.6028
4.1731 6.5426 -0.8487
ATOMIC_POSITIONS angstrom
Hg 0.0000 0.0000 0.0000
Sn -4.7132 -0.1460 0.0647
Sn -0.4587 3.4000 -0.3142
Er -3.0220 2.0993 1.4421
Er -2.1498 1.1547 -1.6916
Er -4.9560 -0.9837 3.1308
Er -0.2159 4.2376 -3.3802
```

Calculated values
Calculated density   9.36 Mg/m³
Formation enthalpy at 0 K   -3.4 eV/f.u.
Space group   C2/m (12)

Compound: Mg3HPd
Source: the Alexandria database
Functional: PBE
Structure: relaxed Values from VASP.

The structure in Quantum ESPRESSO input format:
```
&SYSTEM
  ibrav = 0, nat = 20, ntyp = 3
/
ATOMIC_SPECIES
Pd 106.42 Pd.upf
Mg 24.30 Mg.upf
H 1.01 H.upf
CELL_PARAMETERS angstrom
5.5698 0.0000 0.0000
0.0000 5.9153 -0.0309
0.0000 -0.8925 9.4204
ATOMIC_POSITIONS angstrom
Pd 4.6344 3.4108 1.5369
Pd 0.9354 1.6120 7.8527
Pd 3.7203 2.9646 6.2471
Pd 1.8495 2.0582 3.1424
Mg 2.2202 4.7109 7.8501
Mg 0.5647 5.1571 3.1399
Mg 1.9120 3.6580 0.9393
Mg 3.6578 1.3648 8.4502
Mg 3.3257 4.2628 3.8831
Mg 4.6969 1.8111 3.7400
Mg 3.3496 0.3119 1.5394
Mg 5.0290 3.8166 8.5933
Mg 0.5408 1.2062 0.7963
Mg 0.8729 3.2117 5.6496
Mg 2.2441 0.7600 5.5065
Mg 5.0051 -0.1343 6.2496
H 1.7919 5.5429 0.4450
H 0.9930 5.0967 5.1552
H 4.5768 -0.0739 4.2344
H 3.7779 -0.5201 8.9446
```

Calculated values
Electronic total energy   -2.97 eV per atom
Calculated density   3.86 Mg/m³
Space group   P2_1/c (14)

Compound: Ag8Sn2Au
Source: the Alexandria database
Functional: PBE
Structure: relaxed Values from VASP.

The structure in Quantum ESPRESSO input format:
```
&SYSTEM
  ibrav = 0, nat = 11, ntyp = 3
/
ATOMIC_SPECIES
Ag 107.87 Ag.upf
Sn 118.71 Sn.upf
Au 196.97 Au.upf
CELL_PARAMETERS angstrom
4.7855 1.0132 0.0000
1.9392 7.2550 0.0000
0.9696 3.6275 6.7677
ATOMIC_POSITIONS angstrom
Ag 2.2229 5.8867 1.4595
Ag 4.4614 5.0089 0.0000
Ag 3.3624 4.1341 3.9903
Ag 4.3320 7.7616 2.7774
Ag 5.4714 6.0090 5.3083
Ag 3.1926 9.5142 5.3083
Ag 4.5018 2.3815 1.4595
Ag 2.2634 3.2593 0.0000
Sn 1.9392 7.2550 4.1273
Sn 0.9696 3.6275 2.6404
Au 2.3928 0.5066 0.0000
```

Calculated values
Calculated density   9.72 Mg/m³
Formation enthalpy at 0 K   1.0 eV/f.u.
Space group   C2/m (12)

Compound: Mg2TcAs2
Source: the Alexandria database
Functional: PBE
Structure: relaxed Values from VASP.

The structure in Quantum ESPRESSO input format:
```
&SYSTEM
  ibrav = 0, nat = 10, ntyp = 3
/
ATOMIC_SPECIES
Mg 24.30 Mg.upf
As 74.92 As.upf
Tc 98.00 Tc.upf
CELL_PARAMETERS angstrom
6.4492 0.0000 0.0000
0.0000 6.4492 0.0000
0.0000 0.0000 4.2926
ATOMIC_POSITIONS angstrom
Mg 2.0670 1.1577 2.1463
Mg 5.2916 2.0670 2.1463
Mg 1.1577 4.3823 2.1463
Mg 4.3823 5.2916 2.1463
As 0.8976 2.3270 0.0000
As 5.5516 4.1222 0.0000
As 2.3270 5.5516 0.0000
As 4.1222 0.8976 0.0000
Tc 0.0000 0.0000 0.0000
Tc 3.2246 3.2246 0.0000
```

Calculated values
Calculated density   5.51 Mg/m³
Formation enthalpy at 0 K   -1.3 eV/f.u.
Space group   P4/mbm (127)

Compound: CeSiSn
Source: the Alexandria database
Functional: PBE
Structure: relaxed Values from VASP.

The structure in Quantum ESPRESSO input format:
```
&SYSTEM
  ibrav = 0, nat = 6, ntyp = 3
/
ATOMIC_SPECIES
Ce 140.12 Ce.upf
Si 28.09 Si.upf
Sn 118.71 Sn.upf
CELL_PARAMETERS angstrom
3.8610 0.0000 0.0000
0.0000 4.0858 -0.9478
0.0000 -0.0359 9.1258
ATOMIC_POSITIONS angstrom
Ce 0.9653 3.6704 6.5422
Ce 2.8958 0.3794 1.6358
Si 0.9653 2.1996 0.2014
Si 2.8958 1.8503 7.9766
Sn 0.9653 2.8920 3.1864
Sn 2.8958 1.1579 4.9916
```

Calculated values
Calculated density   6.62 Mg/m³
Space group   Cmcm (63)
E_form (uncorrected)   -1.53 eV/f.u.

Compound: Sr2InHgS5
Source: the Alexandria database
Functional: PBE
Structure: relaxed Values from VASP.

The structure in Quantum ESPRESSO input format:
```
&SYSTEM
  ibrav = 0, nat = 18, ntyp = 4
/
ATOMIC_SPECIES
S 32.06 S.upf
In 114.82 In.upf
Sr 87.62 Sr.upf
Hg 200.59 Hg.upf
CELL_PARAMETERS angstrom
4.0543 0.0000 0.0000
-2.0271 9.0733 0.0000
0.0000 0.0000 12.3970
ATOMIC_POSITIONS angstrom
S 2.0271 4.3069 2.3103
S 2.0271 7.9773 6.9353
S 2.0271 3.8023 11.1772
S 0.0000 6.9010 12.1401
S 0.0000 4.7664 8.5088
S 2.0271 0.1578 9.5307
S 0.0000 1.0960 0.7368
S 0.0000 8.9155 3.3323
S 0.0000 5.2710 4.9787
S 2.0271 2.1723 5.9416
In 0.0000 7.7971 5.4936
In 2.0271 1.2762 11.6921
Sr 2.0271 7.3034 1.8156
Sr 0.0000 1.7699 8.0141
Sr 0.0000 2.2366 3.7123
Sr 2.0271 6.8367 9.9107
Hg 0.0000 4.3444 0.4891
Hg 2.0271 4.7289 6.6875
```

Calculated values
Calculated density   4.74 Mg/m³
Space group   Cmc2_1 (36)
E_form (uncorrected)   -9.14 eV/f.u.

Compound: ZrBe9Co2
Source: the Alexandria database
Functional: PBE
Structure: relaxed Values from VASP.

The structure in Quantum ESPRESSO input format:
```
&SYSTEM
  ibrav = 0, nat = 12, ntyp = 3
/
ATOMIC_SPECIES
Be 9.01 Be.upf
Co 58.93 Co.upf
Zr 91.22 Zr.upf
CELL_PARAMETERS angstrom
-2.4137 0.3197 3.5791
-3.6069 -2.3604 0.3961
1.6077 -5.7191 4.2128
ATOMIC_POSITIONS angstrom
Be -2.0168 -2.3677 2.7496
Be -2.2065 -3.8799 4.0940
Be -2.3962 -5.3922 5.4384
Be -1.1632 -5.5555 3.6100
Be -2.0005 -0.6892 1.3302
Be -0.5536 -4.1864 5.2360
Be -3.2498 -2.2044 4.5780
Be -3.8594 -3.5735 2.9519
Be -2.4125 -7.0707 6.8578
Co 0.0824 -3.5928 2.9942
Co -4.4954 -4.1670 5.1937
Zr 0.0000 0.0000 0.0000
```

Calculated values
Calculated density   4.34 Mg/m³
Formation enthalpy at 0 K   -2.7 eV/f.u.
Space group   R-3m (166)

Q: The lowest calculated density belongs to which entry?
A: Mg3HPd

What did the second record say?
Compound: Er4Sn2Hg
Source: the Alexandria database
Functional: PBE
Structure: relaxed Values from VASP.

The structure in Quantum ESPRESSO input format:
```
&SYSTEM
  ibrav = 0, nat = 7, ntyp = 3
/
ATOMIC_SPECIES
Hg 200.59 Hg.upf
Sn 118.71 Sn.upf
Er 167.26 Er.upf
CELL_PARAMETERS angstrom
-2.3917 -0.6926 -4.0036
-6.9532 -2.5960 4.6028
4.1731 6.5426 -0.8487
ATOMIC_POSITIONS angstrom
Hg 0.0000 0.0000 0.0000
Sn -4.7132 -0.1460 0.0647
Sn -0.4587 3.4000 -0.3142
Er -3.0220 2.0993 1.4421
Er -2.1498 1.1547 -1.6916
Er -4.9560 -0.9837 3.1308
Er -0.2159 4.2376 -3.3802
```

Calculated values
Calculated density   9.36 Mg/m³
Formation enthalpy at 0 K   -3.4 eV/f.u.
Space group   C2/m (12)

Q: Which value of calculated density does entry 7 give?
A: 4.74 Mg/m³